(1)
A plane-wave DFT calculation with PBE was carried out for an optimized crystal structure of ZnRuPt3.

Output
Formation energy in kJ/mol of formula units: 606
Crystal system: cubic
V in Å³/cell: 110

a b c (Å): 4.796 4.796 4.796
angles (deg): 90.00 90.00 90.00
Space group Pm-3m (No. 221)
One atom of each set of equivalent atoms:
Zn  0.000  0.000  0.000 (multiplicity 1)
Ru  0.500  0.500  0.500 (multiplicity 1)
Pt  0.000  0.500  0.500 (multiplicity 3)

(2)
A plane-wave DFT calculation with PBE was carried out for an optimized crystal structure of Li4TmAu2.

Output
Formation energy in kJ/mol of formula units: -312
Crystal system: tetragonal
V in Å³/cell: 252

a b c (Å): 7.617 7.617 4.340
angles (deg): 90.00 90.00 90.00
Space group P4_2/mnm (No. 136)
One atom of each set of equivalent atoms:
Li  0.100  0.351  0.000 (multiplicity 8)
Tm  0.000  0.000  0.500 (multiplicity 2)
Au  0.211  0.789  0.000 (multiplicity 4)

(3)
A plane-wave DFT calculation with PBE was carried out for an optimized crystal structure of Ca2ErSi2Rh5.

Output
Formation energy from raw total energies in eV/f.u.: -8.4
Crystal system: tetragonal
V in Å³/cell: 351

a b c (Å): 10.196 10.196 3.379
angles (deg): 90.00 90.00 90.00
Space group P4/mbm (No. 127)
One atom of each set of equivalent atoms:
Ca  0.174  0.326  0.000 (multiplicity 4)
Er  0.000  0.000  0.000 (multiplicity 2)
Si  0.123  0.623  0.000 (multiplicity 4)
Rh  0.000  0.500  0.500 (multiplicity 2)
Rh  0.070  0.780  0.500 (multiplicity 8)

(4)
A plane-wave DFT calculation with PBE was carried out for an optimized crystal structure of Mg2MnSn2.

Output
Formation energy in kJ/mol of formula units: 34
Crystal system: tetragonal
V in Å³/cell: 228

a b c (Å): 7.096 7.096 4.527
angles (deg): 90.00 90.00 90.00
Space group P4/mbm (No. 127)
One atom of each set of equivalent atoms:
Mg  0.167  0.333  0.000 (multiplicity 4)
Mn  0.000  0.000  0.500 (multiplicity 2)
Sn  0.147  0.647  0.500 (multiplicity 4)

(5)
A plane-wave DFT calculation with PBE was carried out for an optimized crystal structure of Ce5SmHg6.

Output
Formation energy in kJ/mol of formula units: -357
Crystal system: monoclinic
V in Å³/cell: 669

a b c (Å): 16.886 7.803 5.355
angles (deg): 90.00 108.49 90.00
Space group C2/m (No. 12)
One atom of each set of equivalent atoms:
Ce  0.000  0.000  0.000 (multiplicity 2)
Ce  0.153  0.000  0.652 (multiplicity 4)
Ce  0.176  0.500  0.675 (multiplicity 4)
Sm  0.000  0.500  0.000 (multiplicity 2)
Hg  0.000  0.276  0.500 (multiplicity 4)
Hg  0.167  0.263  0.166 (multiplicity 8)

(6)
A plane-wave DFT calculation with PBE was carried out for an optimized crystal structure of Pb2BrCl2.

Output
Formation energy from raw total energies in eV/f.u.: -4.1
Crystal system: monoclinic
V in Å³/cell: 729

a b c (Å): 14.447 5.883 8.707
angles (deg): 90.00 99.93 90.00
Space group C2/m (No. 12)
One atom of each set of equivalent atoms:
Pb  0.017  0.000  0.187 (multiplicity 4)
Pb  0.159  0.500  0.581 (multiplicity 4)
Br  0.208  0.000  0.133 (multiplicity 4)
Cl  0.004  0.500  0.254 (multiplicity 4)
Cl  0.183  0.000  0.585 (multiplicity 4)

(7)
A plane-wave DFT calculation with PBE was carried out for an optimized crystal structure of TaOsAu2.

Output
Formation energy in kJ/mol of formula units: 14
Crystal system: orthorhombic
V in Å³/cell: 68

a b c (Å): 3.113 3.718 5.894
angles (deg): 90.00 90.00 90.00
Space group Pmm2 (No. 25)
One atom of each set of equivalent atoms:
Ta  0.000  0.000  0.000 (multiplicity 1)
Os  0.500  0.500  0.797 (multiplicity 1)
Au  0.000  0.000  0.524 (multiplicity 1)
Au  0.500  0.500  0.278 (multiplicity 1)

(8)
A plane-wave DFT calculation with PBE was carried out for an optimized crystal structure of Cd4PS2F.

Output
Formation energy from raw total energies in eV/f.u.: -4.7
Crystal system: orthorhombic
V in Å³/cell: 645

a b c (Å): 7.606 7.916 10.709
angles (deg): 90.00 90.00 90.00
Space group Imma (No. 74)
One atom of each set of equivalent atoms:
Cd  0.000  0.008  0.246 (multiplicity 8)
Cd  0.243  0.250  0.497 (multiplicity 8)
P  0.250  0.250  0.250 (multiplicity 4)
S  0.000  0.000  0.500 (multiplicity 4)
S  0.250  0.250  0.750 (multiplicity 4)
F  0.000  0.000  0.000 (multiplicity 4)

Copy entry 8 word for word.
A plane-wave DFT calculation with PBE was carried out for an optimized crystal structure of Cd4PS2F.

Output
Formation energy from raw total energies in eV/f.u.: -4.7
Crystal system: orthorhombic
V in Å³/cell: 645

a b c (Å): 7.606 7.916 10.709
angles (deg): 90.00 90.00 90.00
Space group Imma (No. 74)
One atom of each set of equivalent atoms:
Cd  0.000  0.008  0.246 (multiplicity 8)
Cd  0.243  0.250  0.497 (multiplicity 8)
P  0.250  0.250  0.250 (multiplicity 4)
S  0.000  0.000  0.500 (multiplicity 4)
S  0.250  0.250  0.750 (multiplicity 4)
F  0.000  0.000  0.000 (multiplicity 4)

- Among the records above, which one has the highest V?
  Pb2BrCl2